Record 1
Density functional theory data (GGA-PBE) for a geometry-optimized LiCd2Ir structure.

Computed properties:
ΔH_f (0 K) ... -0.0402 eV/atom

abc: 4.0069 2.9394 6.5800
angles: 63.27 90.00 90.00
Closest atoms and distances in Å follow each position.
Positions (direct):
Cd1 0.0000 0.9974 0.0038  4 Ir 2.87-2.88, 4 Li 2.89-2.90, 4 Cd 2.89-2.98
Cd2 0.0000 0.5026 0.4962  4 Ir 2.87-2.88, 4 Li 2.89-2.90, 4 Cd 2.89-2.98
Ir1 0.5000 0.2500 0.2500  8 Cd 2.87-2.88, 2 Li 2.94, 2 Ir 2.94
Li1 0.5000 0.7500 0.7500  8 Cd 2.89-2.90, 2 Ir 2.94, 2 Li 2.94

Record 2
Density functional theory data (GGA-PBE) for a geometry-optimized Gd2LuOs structure.

Computed properties:
E above lowest polymorph ... 333.7 meV per atom
ΔH_f (0 K) ... 0.3014 eV/atom

abc: 3.4175 3.4175 10.9562
angles: 81.03 81.03 60.00
Closest atoms and distances in Å follow each position.
Positions (direct):
Gd1 0.1032 0.1032 0.6903  3 Os 2.85
Gd2 0.8968 0.8968 0.3097  3 Os 2.85
Lu1 0.0000 0.0000 0.0000  2 Gd 3.34, 6 Lu 3.42
Os1 0.5000 0.5000 0.5000  6 Gd 2.85

Record 3
Density functional theory data (GGA-PBE) for a geometry-optimized Er6BeSe5 structure.

Computed properties:
Formation energy from raw total energies ... -1.471 eV per atom

abc: 6.9853 7.0223 7.0026
angles: 59.91 80.38 70.52
Closest atoms and distances in Å follow each position.
Positions (direct):
Be1 0.0000 0.0000 0.0000  6 Er 2.67-2.68
Se1 0.5000 0.1753 0.6494  6 Er 2.86-2.97
Se2 0.0000 0.3350 0.3299  6 Er 2.87-2.88
Se3 0.5000 0.5000 0.0000  6 Er 2.86-3.04
Se4 0.0000 0.6650 0.6701  6 Er 2.87-2.88
Se5 0.5000 0.8247 0.3506  6 Er 2.86-2.97
Er1 0.7657 0.0775 0.3111  1 Be 2.67, 5 Se 2.86-2.97
Er2 0.2343 0.6114 0.3111  1 Be 2.67, 5 Se 2.86-2.97
Er3 0.2382 0.2304 0.0000  1 Be 2.68, 4 Se 2.87-2.92
Er4 0.7618 0.7696 0.0000  1 Be 2.68, 4 Se 2.87-2.92
Er5 0.7657 0.3886 0.6889  1 Be 2.67, 5 Se 2.86-2.97
Er6 0.2343 0.9225 0.6889  1 Be 2.67, 5 Se 2.86-2.97

Record 4
Density functional theory data (GGA-PBE) for a geometry-optimized HgRh2Se structure.

Computed properties:
Formation energy from raw total energies ... 0.035 eV per atom

abc: 8.1249 8.1249 8.1249
angles: 22.49 22.49 22.49
Closest atoms and distances in Å follow each position.
Positions (direct):
Hg1 0.7500 0.7500 0.7500  6 Rh 2.89, 6 Hg 3.17
Rh1 0.9891 0.9891 0.9891  3 Se 2.51
Rh2 0.5109 0.5109 0.5109  3 Se 2.51
Se1 0.2500 0.2500 0.2500  6 Rh 2.51

Record 5
Density functional theory data (GGA-PBE) for a geometry-optimized Cs2AlGeBr6 structure.

Computed properties:
Formation energy from raw total energies ... -1.144 eV per atom

abc: 7.8128 7.8128 7.8017
angles: 59.95 59.95 90.00
Closest atoms and distances in Å follow each position.
Positions (direct):
Cs1 0.7500 0.2500 0.5000  12 Br 3.90-3.91
Cs2 0.2500 0.7500 0.5000  12 Br 3.90-3.91
Ge1 0.0000 0.0000 0.0000  6 Br 2.87
Al1 0.5000 0.5000 0.0000  6 Br 2.64-2.66
Br1 0.2604 0.2604 0.4792  1 Al 2.64, 1 Ge 2.87
Br2 0.7396 0.7396 0.5208  1 Al 2.64, 1 Ge 2.87
Br3 0.2594 0.2594 0.0000  1 Al 2.66, 1 Ge 2.87
Br4 0.7406 0.7406 0.0000  1 Al 2.66, 1 Ge 2.87
Br5 0.7406 0.2594 0.0000  1 Al 2.66, 1 Ge 2.87
Br6 0.2594 0.7406 0.0000  1 Al 2.66, 1 Ge 2.87

Record 6
Density functional theory data (GGA-PBE) for a geometry-optimized Pd3WCl structure.

Computed properties:
E above lowest polymorph ... 94.4 meV per atom
Formation energy from raw total energies ... 1.205 eV per atom

abc: 4.5186 4.5186 4.5186
angles: 90.00 90.00 90.00
Closest atoms and distances in Å follow each position.
Positions (direct):
Pd1 0.0000 0.5000 0.0000  2 Cl 2.26
Pd2 0.0000 0.0000 0.5000  2 Cl 2.26
Pd3 0.5000 0.0000 0.0000  2 Cl 2.26
W1 0.5000 0.5000 0.5000  12 Pd 3.20
Cl1 0.0000 0.0000 0.0000  6 Pd 2.26

Record 7
Density functional theory data (GGA-PBE) for a geometry-optimized CaSc2Te4 structure.

Computed properties:
E above lowest polymorph ... 19.8 meV per atom
Formation energy from raw total energies ... -1.304 eV per atom

abc: 4.1970 7.2012 14.5917
angles: 90.00 90.00 106.94
Closest atoms and distances in Å follow each position.
Positions (direct):
Ca1 0.6148 0.2295 0.7500  6 Te 3.12-3.27
Ca2 0.3852 0.7705 0.2500  6 Te 3.12-3.27
Sc1 0.1337 0.2674 0.4316  6 Te 2.87-2.97
Sc2 0.8663 0.7326 0.9316  6 Te 2.87-2.97
Sc3 0.1337 0.2674 0.0684  6 Te 2.87-2.97
Sc4 0.8663 0.7326 0.5684  6 Te 2.87-2.97
Te1 0.7726 0.5453 0.1146  3 Sc 2.92-2.97
Te2 0.7726 0.5453 0.3854  3 Sc 2.92-2.97
Te3 0.2274 0.4547 0.8854  3 Sc 2.92-2.97
Te4 0.2274 0.4547 0.6146  3 Sc 2.92-2.97
Te5 0.9467 0.8935 0.7500  2 Sc 2.87, 2 Ca 3.12
Te6 0.0533 0.1065 0.2500  2 Sc 2.87, 2 Ca 3.12
Te7 0.5000 0.0000 0.0000  4 Sc 2.97
Te8 0.5000 0.0000 0.5000  4 Sc 2.97

Record 8
Density functional theory data (GGA-PBE) for a geometry-optimized AcLuN2 structure.

Computed properties:
Formation energy from raw total energies ... -0.589 eV per atom

abc: 3.6846 3.6846 7.0536
angles: 74.86 74.86 60.00
Closest atoms and distances in Å follow each position.
Positions (direct):
Ac1 0.0000 0.0000 0.0000  2 N 2.27
Lu1 0.5000 0.5000 0.5000  6 N 2.39
N1 0.1126 0.1126 0.6622  1 Ac 2.27, 3 Lu 2.39
N2 0.8874 0.8874 0.3378  1 Ac 2.27, 3 Lu 2.39

Record 9
Density functional theory data (GGA-PBE) for a geometry-optimized NbSbSe2Br structure.

Computed properties:
E above lowest polymorph ... 0.0 meV per atom
Formation energy from raw total energies ... 0.036 eV per atom

abc: 5.1101 5.1101 5.1485
angles: 90.00 90.00 90.00
Closest atoms and distances in Å follow each position.
Positions (direct):
Sb1 0.5000 0.5000 0.5000  4 Br 3.61, 8 Se 3.63
Nb1 0.0000 0.0000 0.0000  4 Se 2.56, 2 Br 2.57
Se1 0.0000 0.5000 0.0000  2 Nb 2.56
Se2 0.5000 0.0000 0.0000  2 Nb 2.56
Br1 0.0000 0.0000 0.5000  2 Nb 2.57

Record 10
Density functional theory data (GGA-PBE) for a geometry-optimized CsKAgH structure.

Computed properties:
VASP energy ... -1.9270 eV per atom

abc: 5.8412 5.8412 5.8412
angles: 60.00 60.00 60.00
Closest atoms and distances in Å follow each position.
Positions (direct):
Cs1 0.5000 0.5000 0.5000  4 H 3.58, 4 Ag 3.58
H1 0.2500 0.2500 0.2500  4 K 3.58, 4 Cs 3.58
K1 0.0000 0.0000 0.0000  4 Ag 3.58, 4 H 3.58
Ag1 0.7500 0.7500 0.7500  4 K 3.58, 4 Cs 3.58

Record 11
Density functional theory data (GGA-PBE) for a geometry-optimized PPdPbS2 structure.

Computed properties:
E above lowest polymorph ... 0.0 meV per atom
Formation energy from raw total energies ... 0.250 eV per atom

abc: 5.1458 5.1458 4.4298
angles: 90.00 90.00 90.00
Closest atoms and distances in Å follow each position.
Positions (direct):
Pb1 0.5000 0.5000 0.5000  8 S 3.39, 4 P 3.64
P1 0.0000 0.0000 0.5000  2 Pd 2.21
S1 0.0000 0.5000 0.0000  2 Pd 2.57
S2 0.5000 0.0000 0.0000  2 Pd 2.57
Pd1 0.0000 0.0000 0.0000  2 P 2.21

Record 12
Density functional theory data (GGA-PBE) for a geometry-optimized Li4CdAg4 structure.

Computed properties:
E above lowest polymorph ... 0.0 meV per atom
ΔH_f (0 K) ... -0.1914 eV/atom

abc: 4.1609 6.4359 6.4359
angles: 84.00 71.14 71.14
Closest atoms and distances in Å follow each position.
Positions (direct):
Li1 0.6699 0.6606 0.9997  6 Ag 2.84-2.90, 4 Li 2.86-2.92, 2 Cd 2.93
Li2 0.3301 0.3394 0.0003  6 Ag 2.84-2.90, 4 Li 2.86-2.92, 2 Cd 2.93
Li3 0.6695 0.0003 0.6606  6 Ag 2.84-2.90, 4 Li 2.86-2.92, 2 Cd 2.93
Li4 0.3305 0.9997 0.3394  6 Ag 2.84-2.90, 4 Li 2.86-2.92, 2 Cd 2.93
Cd1 0.0000 0.0000 0.0000  4 Ag 2.86, 8 Li 2.93
Ag1 0.6683 0.3318 0.3316  6 Li 2.84-2.90, 1 Cd 2.86, 5 Ag 2.90-2.92
Ag2 0.3317 0.6682 0.6684  6 Li 2.84-2.90, 1 Cd 2.86, 5 Ag 2.90-2.92
Ag3 0.9999 0.6684 0.3318  6 Li 2.84-2.90, 1 Cd 2.86, 5 Ag 2.90-2.92
Ag4 0.0001 0.3316 0.6682  6 Li 2.84-2.90, 1 Cd 2.86, 5 Ag 2.90-2.92